VASP calculation (GGA-PBE) on a geometry-optimized Li6NF3 structure.

It has space group I4/mmm (No. 139), with a = 6.2504 Å, b = 6.2504 Å, c = 6.9015 Å, α = 90.00°, β = 90.00° and γ = 90.00°. The distinct sites, in fractional coordinates, are Li at (0.0000, 0.0000, 0.2397), Li at (0.0000, 0.3101, 0.5000), N at (0.0000, 0.0000, 0.5000), F at (0.0000, 0.0000, 0.0000) and F at (0.0000, 0.5000, 0.2500).

The energy relative to the elements, uncorrected comes out at -1.703 eV per atom. The energy is -4.2455 eV per atom. The density of states at the Fermi level comes out at 0.00 states/eV/atom.



VASP calculation (GGA-PBE) on a geometry-optimized PaI5Br structure.

It has space group C2/c (No. 15), with a = 12.8411 Å, b = 15.7408 Å, c = 9.1255 Å, α = 90.00°, β = 121.94° and γ = 90.00°. The distinct sites, in fractional coordinates, are Pa at (0.2500, 0.2500, 0.0000), I at (0.0000, 0.1641, 0.7500), I at (0.1337, 0.3981, 0.0400), I at (0.2502, 0.1681, 0.2874) and Br at (0.0000, 0.1718, 0.2500).

The energy relative to the elements, uncorrected comes out at -0.680 eV per atom. The value obtained for the excess energy over the best structure of this formula in the dataset is 0.92 eV per formula unit. The energy is -3.3825 eV per atom. The density of states at the Fermi level comes out at 0.15 states/eV/atom.